Record 1
4
Lattice="-2.1686 -2.1361 3.4018 2.3035 -1.2801 3.7274 -0.7000 2.1491 3.9660" Properties=species:S:1:pos:R:3 comment="Cd2AgRh, single point on PBEsol structure, DFT SCAN" spacegroup="Fm-3m, No. 225" volume_a3_per_atom=16.8 e_form_mev_per_atom=-91 polymorph_energy_ev_per_atom=0.0358 final_energy_ev_per_atom=-31.583 n_ef_per_ev_cell=1.76 pbc="T T T"
Rh -0.2825 -0.6336 5.5476
Cd -0.1413 -0.3168 2.7738
Cd -0.4238 -0.9503 8.3214
Ag 0.0000 0.0000 0.0000

Record 2
10
Lattice="3.3918 0.0000 0.0000 0.0000 6.2862 0.0000 0.0000 0.0000 6.2862" Properties=species:S:1:pos:R:3 comment="Zr2B2Mo, single point on PBEsol structure, DFT SCAN" spacegroup="P4/mbm, No. 127" volume_a3_per_atom=13.4 e_form_mev_per_atom=-603 final_energy_ev_per_atom=-22.831 n_ef_per_ev_cell=5.07 pbc="T T T"
Zr 1.6959 5.1279 1.9848
Zr 1.6959 1.9848 1.1583
Zr 1.6959 4.3015 5.1279
Zr 1.6959 1.1583 4.3015
B 0.0000 5.6414 3.7879
B 0.0000 3.7879 0.6448
B 0.0000 2.4983 5.6414
B 0.0000 0.6448 2.4983
Mo 0.0000 0.0000 0.0000
Mo 0.0000 3.1431 3.1431

Record 3
3
Lattice="2.9151 0.0000 0.0000 -1.4576 2.5246 0.0000 0.0000 0.0000 7.6248" Properties=species:S:1:pos:R:3 comment="SrOsAu, single point on PBEsol structure, DFT SCAN" spacegroup="P3m1, No. 156" volume_a3_per_atom=18.7 e_form_mev_per_atom=943 final_energy_ev_per_atom=-53.494 n_ef_per_ev_cell=1.86 pbc="T T T"
Os 0.0000 1.6830 5.1781
Au 0.0000 0.0000 7.4748
Sr 1.4576 0.8415 2.5966

Record 4
24
Lattice="9.9477 0.0000 0.0000 4.9739 8.6150 0.0000 4.9739 2.8717 8.1223" Properties=species:S:1:pos:R:3 comment="InPb2, single point on PBEsol structure, DFT SCAN" spacegroup="Fd-3m, No. 227" volume_a3_per_atom=29.0 e_form_mev_per_atom=84 final_energy_ev_per_atom=-61.565 n_ef_per_ev_cell=10.38 pbc="T T T"
Pb 7.4608 1.4358 1.0153
Pb 13.1152 9.6578 4.6168
Pb 13.1152 7.5721 7.5666
Pb 9.9477 7.8291 5.5360
Pb 11.7540 4.7004 5.5360
Pb 16.7279 7.5721 7.5666
Pb 16.7279 9.6578 4.6168
Pb 8.1414 6.7862 2.5863
Pb 2.4869 1.4358 1.0153
Pb 8.1414 4.7004 5.5360
Pb 11.7540 6.7862 2.5863
Pb 14.9216 6.5292 4.6168
Pb 4.9739 2.8717 5.0764
Pb 14.9216 10.7007 7.5666
Pb 4.9739 5.7433 1.0153
Pb 9.9477 3.6575 2.5863
In 9.9477 5.7433 7.9516
In 14.9215 8.6150 2.2013
In 14.9215 4.9470 7.3885
In 13.1242 3.9093 2.7643
In 9.9477 9.4112 2.7643
In 11.7450 10.4489 7.3885
In 6.7712 3.9093 2.7643
In 18.0981 10.4489 7.3885

Record 5
5
Lattice="3.7904 0.0000 0.0000 0.0000 5.2099 0.0000 0.0000 0.0000 5.2099" Properties=species:S:1:pos:R:3 comment="ZrPtSe2N, single point on PBEsol structure, DFT SCAN" spacegroup="P4/mmm, No. 123" volume_a3_per_atom=20.6 final_energy_ev_per_atom=-29.655 formation_energy_uncorrected_ev_per_atom=0.413 n_ef_per_ev_cell=3.50 pbc="T T T"
Se 0.0000 2.6050 0.0000
Se 0.0000 0.0000 2.6050
Zr 0.0000 0.0000 0.0000
Pt 1.8952 2.6050 2.6050
N 1.8952 0.0000 0.0000

Record 6
5
Lattice="-2.2221 2.5715 -1.9644 -1.9825 0.8017 3.2919 3.1381 3.5036 1.0367" Properties=species:S:1:pos:R:3 comment="TiAuSN2, single point on PBEsol structure, DFT SCAN" spacegroup="P4/mmm, No. 123" volume_a3_per_atom=14.8 final_energy_ev_per_atom=-21.454 formation_energy_uncorrected_ev_per_atom=1.225 n_ef_per_ev_cell=2.58 pbc="T T T"
Ti -0.5332 3.4384 1.1821
N -0.9912 0.4008 1.6460
N -1.1110 1.2858 -0.9822
Au 0.0000 0.0000 0.0000
S 1.5691 1.7518 0.5183

Record 7
3
Lattice="-0.8977 0.1794 -3.9965 -3.8540 -0.5990 -1.2643 -2.1865 3.1410 -1.4710" Properties=species:S:1:pos:R:3 comment="Cu2Au, single point on PBEsol structure, DFT SCAN" spacegroup="Fm-3m, No. 225" volume_a3_per_atom=16.2 e_form_mev_per_atom=248 polymorph_energy_ev_per_atom=0.3213 final_energy_ev_per_atom=-32.937 n_ef_per_ev_cell=0.88 pbc="T T T"
Au 0.0000 0.0000 0.0000
Cu -1.7345 0.6803 -1.6829
Cu -5.2036 2.0410 -5.0488

Record 8
24
Lattice="-0.1425 4.5590 0.7097 -3.8814 -2.3100 -0.9525 -2.2262 -2.3803 14.8436" Properties=species:S:1:pos:R:3 comment="Fe2Mo, single point on PBEsol structure, DFT SCAN" spacegroup="P6_3/mmc, No. 194" volume_a3_per_atom=11.7 e_form_mev_per_atom=154 final_energy_ev_per_atom=-23.561 n_ef_per_ev_cell=27.50 pbc="T T T"
Fe -3.0538 -2.3452 6.9455
Fe -1.9407 -1.1550 -0.4763
Fe -0.0713 2.2795 0.3549
Fe -1.1843 1.0894 7.7767
Fe -1.3043 2.8520 4.1515
Fe -1.6745 1.9639 2.0607
Fe -3.3007 1.6638 3.6616
Fe -5.0191 -0.6383 10.8143
Fe -4.0339 -1.5160 8.9284
Fe -4.9458 -2.9832 10.4493
Fe -2.9494 -1.7951 10.9392
Fe -2.2162 1.3847 5.6724
Fe -2.0119 1.1245 -0.1214
Fe -3.1250 -0.0656 7.3004
Fe -1.2310 0.5070 3.7865
Fe -4.5756 -2.0952 12.5401
Mo -2.0235 -2.1636 13.4921
Mo -0.9104 -0.9734 6.0703
Mo -0.2027 -0.2167 1.3515
Mo -3.2655 0.2627 12.6691
Mo -1.3158 -1.4069 8.7733
Mo -3.3987 -0.8368 4.6932
Mo -2.9846 -0.3940 1.9317
Mo -2.8514 0.7055 9.9076

Record 9
5
Lattice="-1.3865 -3.6527 2.8403 4.4925 -0.3530 1.7391 -1.1076 3.1408 3.4986" Properties=species:S:1:pos:R:3 comment="LaInIr3, single point on PBEsol structure, DFT SCAN" spacegroup="Pm-3m, No. 221" volume_a3_per_atom=22.5 e_form_mev_per_atom=892 final_energy_ev_per_atom=-57.066 n_ef_per_ev_cell=4.77 pbc="T T T"
La 0.9992 -0.4324 4.0390
Ir 2.2463 -0.1765 0.8695
Ir -0.5538 1.5704 1.7493
Ir -0.6932 -1.8264 1.4201
In 0.0000 0.0000 0.0000

Record 10
5
Lattice="-1.3811 2.8608 -3.3972 1.1724 -3.1966 -3.1686 -4.2837 -1.7972 0.2281" Properties=species:S:1:pos:R:3 comment="KTiIr3, single point on PBEsol structure, DFT SCAN" spacegroup="Pm-3m, No. 221" volume_a3_per_atom=20.1 e_form_mev_per_atom=1031 final_energy_ev_per_atom=-46.500 n_ef_per_ev_cell=4.41 pbc="T T T"
Ir -2.1419 -0.8986 0.1140
Ir -0.6906 1.4304 -1.6986
Ir 0.5862 -1.5983 -1.5843
K -2.2462 -1.0665 -3.1688
Ti 0.0000 0.0000 0.0000

Record 11
4
Lattice="3.9717 0.0000 0.0000 -1.9859 3.4396 0.0000 0.0000 0.0000 5.5600" Properties=species:S:1:pos:R:3 comment="MnNiTe2, single point on PBEsol structure, DFT SCAN" spacegroup="P-3m1, No. 164" volume_a3_per_atom=19.0 final_energy_ev_per_atom=-27.540 formation_energy_uncorrected_ev_per_atom=-0.307 n_ef_per_ev_cell=1.58 pbc="T T T"
Te 1.9859 1.1465 1.3181
Te 0.0000 2.2931 4.2419
Ni 0.0000 0.0000 0.0000
Mn 0.0000 0.0000 2.7800

Record 12
3
Lattice="-1.5594 4.6039 2.4237 -5.2855 1.1065 0.5835 -2.2808 -0.1622 4.9268" Properties=species:S:1:pos:R:3 comment="Na2Mg, single point on PBEsol structure, DFT SCAN" spacegroup="Fm-3m, No. 225" volume_a3_per_atom=37.8 e_form_mev_per_atom=301 final_energy_ev_per_atom=-4.167 n_ef_per_ev_cell=1.39 pbc="T T T"
Na -2.2814 1.3870 1.9835
Na -6.8443 4.1611 5.9505
Mg 0.0000 0.0000 0.0000